Below is a relaxed ZnFeIO2 crystal, with properties calculated at the PBE with a Hubbard U level.

Structure (POSCAR):
```
ZnFeIO2
1.0
-1.6604 1.7853 2.9905
-0.9158 -3.4202 1.5333
5.3764 -0.0800 3.0330
I O Fe Zn
1 2 1 1
direct
0.0000 0.0000 0.5000 I
0.5000 0.0000 0.0000 O
0.0000 0.5000 0.0000 O
0.0000 0.0000 0.0000 Fe
0.5000 0.5000 0.5000 Zn
```

Computed properties:
* space group: P4/mmm (123)
* final energy: -4.015 eV/atom
* total moment: 5.0 μB per cell
* polymorph energy (0 for the lowest one): 0.00 eV per formula unit